(1)
First-principles (PBE) data for Y2Zn3CoCu12 after structural relaxation, as listed in Alexandria via LeMat-Bulk.

Results
* magnetization: 0.00 μB/f.u.
* energy: -71.67 eV per cell
* calculated volume: 15.28 Å³/atom

abc: 12.3069 12.3069 12.3069
angles: 24.19 24.19 24.19
Fractional coordinates of all 18 atoms:
Y 0.1457 0.1457 0.1457
Y 0.8543 0.8543 0.8543
Zn 0.0000 0.5000 0.5000
Zn 0.5000 0.0000 0.5000
Zn 0.5000 0.5000 0.0000
Co 0.5000 0.5000 0.5000
Cu 0.1045 0.1045 0.6229
Cu 0.1045 0.6229 0.1045
Cu 0.1148 0.6084 0.6084
Cu 0.3771 0.8955 0.8955
Cu 0.3916 0.3916 0.8852
Cu 0.3916 0.8852 0.3916
Cu 0.6084 0.1148 0.6084
Cu 0.6084 0.6084 0.1148
Cu 0.6229 0.1045 0.1045
Cu 0.8852 0.3916 0.3916
Cu 0.8955 0.3771 0.8955
Cu 0.8955 0.8955 0.3771

=====

(2)
First-principles (PBE) data for ZnCo2Cu after structural relaxation, as listed in Alexandria via LeMat-Bulk.

Results
* magnetization: 3.04 μB/f.u.
* energy: -19.18 eV per cell
* calculated volume: 11.89 Å³/atom

abc: 4.5120 4.5120 2.5307
angles: 90.00 90.00 112.62
Fractional coordinates of all 4 atoms:
Zn 0.0000 0.0000 0.0000
Co 0.0000 0.5000 0.5000
Co 0.5000 0.0000 0.5000
Cu 0.5000 0.5000 0.0000

=====

Computed DFT formation energy, in the same sequence as the records: 0.0745 0.1001 eV per atom.